{"formula": "Ho7Er12Sc", "functional": "PBE-GGA", "state": "relaxed", "lattice_angstrom": [[9.207, 5.316, 2.189], [-9.207, 5.316, 2.189], [0.000, -10.632, 2.189]], "species": ["Ho", "Ho", "Ho", "Ho", "Ho", "Ho", "Ho", "Er", "Er", "Er", "Er", "Er", "Er", "Er", "Er", "Er", "Er", "Er", "Er", "Sc"], "fractional_positions": [[0.000, 0.000, 0.000], [0.144, 0.443, 0.310], [0.310, 0.144, 0.443], [0.443, 0.310, 0.144], [0.557, 0.690, 0.856], [0.690, 0.856, 0.557], [0.856, 0.557, 0.690], [0.010, 0.799, 0.588], [0.201, 0.412, 0.990], [0.235, 0.755, 0.300], [0.245, 0.700, 0.765], [0.300, 0.235, 0.755], [0.412, 0.990, 0.201], [0.588, 0.010, 0.799], [0.700, 0.765, 0.245], [0.755, 0.300, 0.235], [0.765, 0.245, 0.700], [0.799, 0.588, 0.010], [0.990, 0.201, 0.412], [0.500, 0.500, 0.500]], "n_ef_per_ev_cell": 26.64, "total_magnetization_mub_per_atom": 0.00, "e_tot_ev_per_atom": -4.335, "formation_energy_ev_per_atom": 0.322}